Record 1
A plane-wave DFT calculation with PBE was carried out for a relaxed BaBiPd3 crystal.

Output
Formation energy   80.8 kJ/mol of atoms
E above lowest polymorph   1311.9 meV/atom
Electronic total energy   -3.44 eV per atom
M_tot   0.0000 μB per atom

Unit cell a=5.352 b=5.352 c=5.352 alpha=90.00 beta=90.00 gamma=90.00
Sites, in units of the cell vectors:
1 Pd 0.000 0.000 0.500
2 Pd 0.000 0.500 0.000
3 Pd 0.500 0.000 0.000
4 Bi 0.500 0.500 0.500
5 Ba 0.000 0.000 0.000

=====

Record 2
A plane-wave DFT calculation with PBE was carried out for a relaxed Ba3Bi5Pd6 crystal.

Output
Formation energy   -57.2 kJ/mol of atoms
Electronic total energy   -4.62 eV per atom
M_tot   0.0000 μB per atom

Unit cell a=4.756 b=10.953 c=14.377 alpha=90.00 beta=90.00 gamma=90.00
Sites, in units of the cell vectors:
1 Ba 0.000 0.240 0.000
2 Ba 0.000 0.255 0.674
3 Ba 0.000 0.255 0.326
4 Ba 0.500 0.760 0.500
5 Ba 0.500 0.745 0.826
6 Ba 0.500 0.745 0.174
7 Pd 0.000 0.613 0.319
8 Pd 0.500 0.490 0.000
9 Pd 0.500 0.387 0.181
10 Pd 0.500 0.387 0.819
11 Pd 0.000 0.995 0.849
12 Pd 0.000 0.613 0.681
13 Pd 0.500 0.005 0.349
14 Pd 0.000 0.995 0.151
15 Pd 0.000 0.510 0.500
16 Pd 0.000 0.013 0.500
17 Pd 0.500 0.005 0.651
18 Pd 0.500 0.987 0.000
19 Bi 0.000 0.514 0.128
20 Bi 0.000 0.880 0.328
21 Bi 0.500 0.486 0.628
22 Bi 0.500 0.120 0.828
23 Bi 0.000 0.844 0.000
24 Bi 0.000 0.880 0.672
25 Bi 0.000 0.514 0.872
26 Bi 0.500 0.156 0.500
27 Bi 0.500 0.120 0.172
28 Bi 0.500 0.486 0.372